# 1
DFT (PBE-GGA) results for a relaxed structure of Ca3TaIr.

a = 5.421 Å, b = 5.421 Å, c = 5.421 Å
α = 90.00°, β = 90.00°, γ = 90.00°
Space group Pm-3m (No. 221)
Asymmetric unit:
Ca 0.000 0.000 0.500
Ta 0.500 0.500 0.500
Ir 0.000 0.000 0.000

Computed properties:
Energy above the lowest structure with this stoichiometry, eV/f.u.: 0.00
M_tot, μB per formula unit: 4.1
DFT total energy, eV/atom: -4.564



# 2
DFT (PBE-GGA) results for a relaxed structure of YbEuCd2.

a = 7.716 Å, b = 7.716 Å, c = 7.716 Å
α = 90.00°, β = 90.00°, γ = 90.00°
Space group Fm-3m (No. 225)
Asymmetric unit:
Yb 0.000 0.000 0.000
Eu 0.000 0.000 0.500
Cd 0.250 0.250 0.250

Computed properties:
M_tot, μB per formula unit: 7.4
DFT total energy, eV/atom: -3.785



- Look up the DFT total energy of the first one.
  -4.564 eV/atom